Entry 1:
Computed, not measured: crystalline BC2 at its relaxed geometry at the PBE level of DFT.

Properties
Its energy relative to the elements is 0.39 eV/atom. The magnetization comes out at 0.00 Bohr magnetons per cell.

Unit cell a=7.0937 b=7.0937 c=4.4642 alpha=107.47 beta=107.47 gamma=20.89
Fractional coordinates of all 12 atoms:
B: 0.0000 0.0000 0.0000
B: 0.1257 0.1257 0.1831
B: 0.4397 0.4397 0.1562
B: 0.5037 0.5037 0.6041
C: 0.1664 0.1664 0.5537
C: 0.2851 0.2851 0.6622
C: 0.3228 0.3228 0.0318
C: 0.6274 0.6274 0.6826
C: 0.6709 0.6709 0.0359
C: 0.7841 0.7841 0.1602
C: 0.8247 0.8247 0.5308
C: 0.9415 0.9415 0.6237

***

Entry 2:
Computed, not measured: crystalline CsLiLaBr at its relaxed geometry at the PBE level of DFT.

Properties
As for the energy relative to the elements, uncorrected: -2.03 eV per formula unit. The magnetization comes out at 0.16 Bohr magnetons per cell.

Unit cell a=7.0819 b=4.0924 c=10.8869 alpha=90.00 beta=102.66 gamma=90.00
Fractional coordinates of all 8 atoms:
Cs: 0.0000 0.0000 0.0000
Cs: 0.5000 0.5000 0.0000
Li: 0.0666 0.5000 0.6914
Li: 0.5666 0.0000 0.6914
La: 0.3214 0.5000 0.4590
La: 0.8214 0.0000 0.4590
Br: 0.4181 0.0000 0.2522
Br: 0.9181 0.5000 0.2522

***

Entry 3:
Computed, not measured: crystalline MnGeAu2 at its relaxed geometry at the PBE level of DFT.

Properties
Its energy relative to the elements is 0.06 eV/atom. The magnetization comes out at 3.90 Bohr magnetons per cell.

Unit cell a=4.1170 b=4.1170 c=4.0679 alpha=90.00 beta=90.00 gamma=90.00
Fractional coordinates of all 4 atoms:
Mn: 0.0000 0.0000 0.0000
Ge: 0.5000 0.5000 0.0000
Au: 0.0000 0.5000 0.5000
Au: 0.5000 0.0000 0.5000

***

Entry 4:
Computed, not measured: crystalline ScHgAs at its relaxed geometry at the PBE level of DFT.

Properties
Its energy relative to the elements is -0.55 eV/atom. The magnetization comes out at 0.00 Bohr magnetons per cell.

Unit cell a=4.0299 b=4.0299 c=5.0423 alpha=90.00 beta=90.00 gamma=120.00
Fractional coordinates of all 3 atoms:
Sc: 0.0000 0.0000 0.0000
Hg: 0.6667 0.3333 0.6014
As: 0.3333 0.6667 0.2557

***

Entry 5:
Computed, not measured: crystalline Ba4LiNi at its relaxed geometry at the PBE level of DFT.

Properties
Its energy relative to the elements is 0.79 eV/atom. The magnetization comes out at 0.53 Bohr magnetons per cell.

Unit cell a=7.3532 b=7.3532 c=7.3532 alpha=60.00 beta=60.00 gamma=60.00
Fractional coordinates of all 6 atoms:
Ba: 0.3760 0.3760 0.3760
Ba: 0.3760 0.3760 0.8718
Ba: 0.3760 0.8718 0.3760
Ba: 0.8718 0.3760 0.3760
Li: 0.0000 0.0000 0.0000
Ni: 0.7500 0.7500 0.7500

***

Entry 6:
Computed, not measured: crystalline Ca2Ga9Rh6 at its relaxed geometry at the PBE level of DFT.

Properties
Its energy relative to the elements is -0.52 eV/atom. The magnetization comes out at 0.00 Bohr magnetons per cell.

Unit cell a=5.5615 b=5.5615 c=11.8955 alpha=90.00 beta=90.00 gamma=120.00
Fractional coordinates of all 17 atoms:
Ca: 0.0000 0.0000 0.1672
Ca: 0.0000 0.0000 0.8328
Ga: 0.0000 0.5000 0.0000
Ga: 0.0000 0.5000 0.3382
Ga: 0.0000 0.5000 0.6618
Ga: 0.5000 0.0000 0.0000
Ga: 0.5000 0.0000 0.3382
Ga: 0.5000 0.0000 0.6618
Ga: 0.5000 0.5000 0.0000
Ga: 0.5000 0.5000 0.3382
Ga: 0.5000 0.5000 0.6618
Rh: 0.3333 0.6667 0.1722
Rh: 0.3333 0.6667 0.5000
Rh: 0.3333 0.6667 0.8278
Rh: 0.6667 0.3333 0.1722
Rh: 0.6667 0.3333 0.5000
Rh: 0.6667 0.3333 0.8278

***

Entry 7:
Computed, not measured: crystalline LiThZrTc at its relaxed geometry at the PBE level of DFT.

Properties
Its energy relative to the elements is -0.05 eV/atom. The magnetization comes out at 0.00 Bohr magnetons per cell.

Unit cell a=6.9155 b=6.9155 c=6.9155 alpha=90.00 beta=90.00 gamma=90.00
Fractional coordinates of all 16 atoms:
Li: 0.0000 0.0000 0.0000
Li: 0.0000 0.5000 0.5000
Li: 0.5000 0.0000 0.5000
Li: 0.5000 0.5000 0.0000
Th: 0.2500 0.2500 0.7500
Th: 0.2500 0.7500 0.2500
Th: 0.7500 0.2500 0.2500
Th: 0.7500 0.7500 0.7500
Zr: 0.2500 0.2500 0.2500
Zr: 0.2500 0.7500 0.7500
Zr: 0.7500 0.2500 0.7500
Zr: 0.7500 0.7500 0.2500
Tc: 0.0000 0.0000 0.5000
Tc: 0.0000 0.5000 0.0000
Tc: 0.5000 0.0000 0.0000
Tc: 0.5000 0.5000 0.5000

***

Entry 8:
Computed, not measured: crystalline Sr3ScAu at its relaxed geometry at the PBE level of DFT.

Properties
Its energy relative to the elements is 0.71 eV/atom. The magnetization comes out at 3.70 Bohr magnetons per cell.

Unit cell a=6.2507 b=6.2507 c=6.2507 alpha=90.00 beta=90.00 gamma=90.00
Fractional coordinates of all 5 atoms:
Sr: 0.0000 0.0000 0.5000
Sr: 0.0000 0.5000 0.0000
Sr: 0.5000 0.0000 0.0000
Sc: 0.0000 0.0000 0.0000
Au: 0.5000 0.5000 0.5000

***

Entry 9:
Computed, not measured: crystalline In2S2F at its relaxed geometry at the PBE level of DFT.

Properties
As for the energy relative to the elements, uncorrected: -4.06 eV per formula unit. The magnetization comes out at 0.00 Bohr magnetons per cell.

Unit cell a=8.0726 b=8.0726 c=8.0726 alpha=123.90 beta=123.90 gamma=83.37
Fractional coordinates of all 10 atoms:
In: 0.2291 0.0000 0.2291
In: 0.7500 0.0209 0.2709
In: 0.7500 0.4791 0.7291
In: 0.7709 0.0000 0.7709
S: 0.4687 0.2119 0.2569
S: 0.9550 0.2119 0.7431
S: 0.9619 0.2050 0.2431
S: 0.9619 0.7187 0.7569
F: 0.4378 0.9378 0.5000
F: 0.6878 0.6878 0.0000

***

Entry 10:
Computed, not measured: crystalline Li2HoSc2Tl2 at its relaxed geometry at the PBE level of DFT.

Properties
Its energy relative to the elements is -0.16 eV/atom. The magnetization comes out at 0.00 Bohr magnetons per cell.

Unit cell a=8.9105 b=8.9105 c=8.9105 alpha=30.64 beta=30.64 gamma=30.64
Fractional coordinates of all 7 atoms:
Li: 0.0884 0.0884 0.0884
Li: 0.9116 0.9116 0.9116
Ho: 0.5000 0.5000 0.5000
Sc: 0.3690 0.3690 0.3690
Sc: 0.6310 0.6310 0.6310
Tl: 0.2431 0.2431 0.2431
Tl: 0.7569 0.7569 0.7569

***

Entry 11:
Computed, not measured: crystalline Ba2SnSb4Au3 at its relaxed geometry at the PBE level of DFT.

Properties
As for the energy relative to the elements, uncorrected: -5.29 eV per formula unit. The magnetization comes out at 0.00 Bohr magnetons per cell.

Unit cell a=5.1689 b=5.1689 c=10.8683 alpha=90.00 beta=90.00 gamma=90.00
Fractional coordinates of all 10 atoms:
Ba: 0.0000 0.5000 0.2463
Ba: 0.5000 0.0000 0.7537
Sn: 0.0000 0.0000 0.5000
Sb: 0.0000 0.0000 0.0000
Sb: 0.0000 0.5000 0.6294
Sb: 0.5000 0.0000 0.3706
Sb: 0.5000 0.5000 0.0000
Au: 0.0000 0.5000 0.8847
Au: 0.5000 0.0000 0.1153
Au: 0.5000 0.5000 0.5000

***

Entry 12:
Computed, not measured: crystalline CdSbBr2 at its relaxed geometry at the PBE level of DFT.

Properties
As for the energy relative to the elements, uncorrected: -0.79 eV per formula unit. The magnetization comes out at 0.00 Bohr magnetons per cell.

Unit cell a=3.7449 b=3.7449 c=29.3562 alpha=90.00 beta=90.00 gamma=120.00
Fractional coordinates of all 12 atoms:
Cd: 0.0000 0.0000 0.0000
Cd: 0.3333 0.6667 0.6667
Cd: 0.6667 0.3333 0.3333
Sb: 0.0000 0.0000 0.5000
Sb: 0.3333 0.6667 0.1667
Sb: 0.6667 0.3333 0.8333
Br: 0.0000 0.0000 0.4016
Br: 0.0000 0.0000 0.5984
Br: 0.3333 0.6667 0.0683
Br: 0.3333 0.6667 0.2651
Br: 0.6667 0.3333 0.7349
Br: 0.6667 0.3333 0.9317

***

Entry 13:
Computed, not measured: crystalline GaSbPd5 at its relaxed geometry at the PBE level of DFT.

Properties
As for the energy relative to the elements, uncorrected: -2.46 eV per formula unit. The magnetization comes out at 0.00 Bohr magnetons per cell.

Unit cell a=5.2966 b=5.2966 c=8.6757 alpha=93.08 beta=93.08 gamma=83.71
Fractional coordinates of all 14 atoms:
Ga: 0.0402 0.9598 0.7500
Ga: 0.9598 0.0402 0.2500
Sb: 0.5000 0.5000 0.0000
Sb: 0.5000 0.5000 0.5000
Pd: 0.0705 0.2442 0.0007
Pd: 0.1526 0.4856 0.7150
Pd: 0.2442 0.0705 0.5007
Pd: 0.3085 0.6915 0.2500
Pd: 0.4856 0.1526 0.2150
Pd: 0.5144 0.8474 0.7850
Pd: 0.6915 0.3085 0.7500
Pd: 0.7558 0.9295 0.4993
Pd: 0.8474 0.5144 0.2850
Pd: 0.9295 0.7558 0.9993

***

Entry 14:
Computed, not measured: crystalline TiCr3Te at its relaxed geometry at the PBE level of DFT.

Properties
As for the energy relative to the elements, uncorrected: 6.82 eV per formula unit. The magnetization comes out at 8.64 Bohr magnetons per cell.

Unit cell a=4.9388 b=4.9388 c=4.9388 alpha=90.00 beta=90.00 gamma=90.00
Fractional coordinates of all 5 atoms:
Ti: 0.0000 0.0000 0.0000
Cr: 0.0000 0.5000 0.5000
Cr: 0.5000 0.0000 0.5000
Cr: 0.5000 0.5000 0.0000
Te: 0.5000 0.5000 0.5000

***

Entry 15:
Computed, not measured: crystalline K3NiBr7 at its relaxed geometry at the PBE level of DFT.

Properties
As for the energy relative to the elements, uncorrected: -11.05 eV per formula unit. The magnetization comes out at 0.00 Bohr magnetons per cell.

Unit cell a=10.0759 b=10.0759 c=7.1123 alpha=90.00 beta=90.00 gamma=90.00
Fractional coordinates of all 22 atoms:
K: 0.0000 0.0000 0.0000
K: 0.1693 0.3307 0.5000
K: 0.3307 0.8307 0.5000
K: 0.5000 0.5000 0.0000
K: 0.6693 0.1693 0.5000
K: 0.8307 0.6693 0.5000
Ni: 0.0000 0.5000 0.0000
Ni: 0.5000 0.0000 0.0000
Br: 0.0000 0.0000 0.5000
Br: 0.1176 0.6176 0.2426
Br: 0.1176 0.6176 0.7574
Br: 0.1705 0.3295 0.0000
Br: 0.3295 0.8295 0.0000
Br: 0.3824 0.1176 0.2426
Br: 0.3824 0.1176 0.7574
Br: 0.5000 0.5000 0.5000
Br: 0.6176 0.8824 0.2426
Br: 0.6176 0.8824 0.7574
Br: 0.6705 0.1705 0.0000
Br: 0.8295 0.6705 0.0000
Br: 0.8824 0.3824 0.2426
Br: 0.8824 0.3824 0.7574

***

Entry 16:
Computed, not measured: crystalline ZrRuPbO6 at its relaxed geometry at the PBE level of DFT.

Properties
As for the energy relative to the elements, uncorrected: -14.90 eV per formula unit. The magnetization comes out at 2.07 Bohr magnetons per cell.

Unit cell a=5.3880 b=5.3880 c=5.1021 alpha=90.00 beta=90.00 gamma=120.00
Fractional coordinates of all 9 atoms:
Zr: 0.0000 0.0000 0.0000
Ru: 0.3333 0.6667 0.0000
Pb: 0.6667 0.3333 0.5000
O: 0.0447 0.3538 0.2172
O: 0.0447 0.6909 0.7828
O: 0.3091 0.3538 0.7828
O: 0.3091 0.9553 0.2172
O: 0.6462 0.6909 0.2172
O: 0.6462 0.9553 0.7828

***

Entry 17:
Computed, not measured: crystalline AgSbPb at its relaxed geometry at the PBE level of DFT.

Properties
As for the energy relative to the elements, uncorrected: 0.16 eV per formula unit. The magnetization comes out at 0.00 Bohr magnetons per cell.

Unit cell a=4.4278 b=6.1133 c=6.7667 alpha=87.52 beta=70.96 gamma=68.87
Fractional coordinates of all 6 atoms:
Ag: 0.0000 0.0000 0.0000
Ag: 0.0165 0.3151 0.6567
Sb: 0.6589 0.3153 0.3711
Sb: 0.7076 0.8294 0.7566
Pb: 0.2918 0.4354 0.9827
Pb: 0.4046 0.8703 0.3143

***

Entry 18:
Computed, not measured: crystalline Sr2ErO3 at its relaxed geometry at the PBE level of DFT.

Properties
As for the energy relative to the elements, uncorrected: -16.37 eV per formula unit. The magnetization comes out at 0.00 Bohr magnetons per cell.

Unit cell a=6.2179 b=6.2179 c=7.0557 alpha=106.44 beta=106.44 gamma=47.68
Fractional coordinates of all 12 atoms:
Sr: 0.1683 0.1683 0.0840
Sr: 0.1683 0.1683 0.5840
Sr: 0.8317 0.8317 0.4160
Sr: 0.8317 0.8317 0.9160
Er: 0.5005 0.4995 0.2500
Er: 0.4995 0.5005 0.7500
O: 0.0011 0.9989 0.7500
O: 0.3574 0.3575 0.4288
O: 0.3575 0.3574 0.9288
O: 0.6425 0.6426 0.0712
O: 0.6426 0.6425 0.5712
O: 0.9989 0.0011 0.2500

***

Entry 19:
Computed, not measured: crystalline Pm2YRe at its relaxed geometry at the PBE level of DFT.

Properties
Its energy relative to the elements is 0.88 eV/atom. The magnetization comes out at 0.00 Bohr magnetons per cell.

Unit cell a=3.3088 b=3.3088 c=34.4148 alpha=90.00 beta=90.00 gamma=120.00
Fractional coordinates of all 12 atoms:
Pm: 0.0000 0.0000 0.0774
Pm: 0.0000 0.0000 0.9226
Pm: 0.3333 0.6667 0.5893
Pm: 0.3333 0.6667 0.7440
Pm: 0.6667 0.3333 0.2560
Pm: 0.6667 0.3333 0.4107
Y: 0.0000 0.0000 0.5000
Y: 0.3333 0.6667 0.1667
Y: 0.6667 0.3333 0.8333
Re: 0.0000 0.0000 0.0000
Re: 0.3333 0.6667 0.6667
Re: 0.6667 0.3333 0.3333

***

Entry 20:
Computed, not measured: crystalline AcLaRe2N5 at its relaxed geometry at the PBE level of DFT.

Properties
As for the energy relative to the elements, uncorrected: -7.12 eV per formula unit. The magnetization comes out at 0.00 Bohr magnetons per cell.

Unit cell a=3.9996 b=3.9996 c=7.6688 alpha=90.00 beta=90.00 gamma=90.00
Fractional coordinates of all 9 atoms:
Ac: 0.0000 0.0000 0.0000
La: 0.0000 0.0000 0.5000
Re: 0.5000 0.5000 0.2570
Re: 0.5000 0.5000 0.7430
N: 0.0000 0.5000 0.2757
N: 0.0000 0.5000 0.7243
N: 0.5000 0.0000 0.2757
N: 0.5000 0.0000 0.7243
N: 0.5000 0.5000 0.0000

***

Entry 21:
Computed, not measured: crystalline KBaF2 at its relaxed geometry at the PBE level of DFT.

Properties
As for the energy relative to the elements, uncorrected: -10.56 eV per formula unit. The magnetization comes out at 0.00 Bohr magnetons per cell.

Unit cell a=6.3878 b=6.3878 c=12.9386 alpha=90.00 beta=90.00 gamma=90.00
Fractional coordinates of all 16 atoms:
K: 0.0000 0.0000 0.0000
K: 0.0000 0.5000 0.2500
K: 0.5000 0.0000 0.7500
K: 0.5000 0.5000 0.5000
Ba: 0.0000 0.0000 0.5000
Ba: 0.0000 0.5000 0.7500
Ba: 0.5000 0.0000 0.2500
Ba: 0.5000 0.5000 0.0000
F: 0.1886 0.2500 0.6250
F: 0.2500 0.6886 0.8750
F: 0.2500 0.8114 0.3750
F: 0.3114 0.2500 0.1250
F: 0.6886 0.7500 0.1250
F: 0.7500 0.1886 0.3750
F: 0.7500 0.3114 0.8750
F: 0.8114 0.7500 0.6250

***

Entry 22:
Computed, not measured: crystalline B5C7 at its relaxed geometry at the PBE level of DFT.

Properties
Its energy relative to the elements is 0.39 eV/atom. The magnetization comes out at 0.00 Bohr magnetons per cell.

Unit cell a=3.9745 b=2.5121 c=7.9684 alpha=90.00 beta=90.16 gamma=90.00
Fractional coordinates of all 12 atoms:
B: 0.0000 0.0000 0.0000
B: 0.0217 0.0000 0.2888
B: 0.2672 0.0000 0.7618
B: 0.5215 0.5000 0.4559
B: 0.5646 0.5000 0.7979
C: 0.2431 0.0000 0.4646
C: 0.2984 0.0000 0.1245
C: 0.5188 0.5000 0.1301
C: 0.7407 0.5000 0.2895
C: 0.7609 0.5000 0.9704
C: 0.7792 0.5000 0.6228
C: 0.9981 0.0000 0.6141

***

Entry 23:
Computed, not measured: crystalline RbMg2BeSi at its relaxed geometry at the PBE level of DFT.

Properties
As for the energy relative to the elements, uncorrected: 9.63 eV per formula unit. The magnetization comes out at 0.00 Bohr magnetons per cell.

Unit cell a=6.0471 b=6.0471 c=5.2588 alpha=90.00 beta=90.00 gamma=90.00
Fractional coordinates of all 5 atoms:
Rb: 0.0000 0.0000 0.0000
Mg: 0.0000 0.5000 0.0000
Mg: 0.5000 0.0000 0.0000
Be: 0.0000 0.0000 0.5000
Si: 0.5000 0.5000 0.5000

***

Entry 24:
Computed, not measured: crystalline TlZn3B at its relaxed geometry at the PBE level of DFT.

Properties
Its energy relative to the elements is 0.39 eV/atom. The magnetization comes out at 0.00 Bohr magnetons per cell.

Unit cell a=4.3976 b=4.3976 c=4.3976 alpha=90.00 beta=90.00 gamma=90.00
Fractional coordinates of all 5 atoms:
Tl: 0.0000 0.0000 0.0000
Zn: 0.0000 0.5000 0.5000
Zn: 0.5000 0.0000 0.5000
Zn: 0.5000 0.5000 0.0000
B: 0.5000 0.5000 0.5000